## P
Ce3Si3Ni: optimized geometry, GGA-PBE.

POSCAR file:
```
Ce3Si3Ni
1.0
-2.008 2.082 8.924
2.008 -2.082 8.924
2.008 2.082 -8.924
Ce Si Ni
3 3 1
direct
0.000 0.000 0.000
0.181 0.681 0.500
0.369 0.369 0.000
0.548 0.548 0.000
0.742 0.242 0.500
0.821 0.821 0.000
0.615 0.115 0.500
```

crystal system = orthorhombic

---

## Q
Ce3Si3Ni: optimized geometry, GGA-PBE.

POSCAR file:
```
Ce3Si3Ni
1.0
6.052 0.000 0.000
0.000 5.644 0.000
-0.812 0.000 8.747
Ce Si Ni
6 6 2
direct
0.174 0.250 0.311
0.281 0.250 0.951
0.283 0.750 0.610
0.717 0.250 0.390
0.719 0.750 0.049
0.826 0.750 0.689
0.055 0.250 0.646
0.195 0.750 0.946
0.446 0.250 0.638
0.554 0.750 0.362
0.805 0.250 0.054
0.945 0.750 0.354
0.243 0.750 0.205
0.757 0.250 0.795
```

crystal system = monoclinic

---

In meV/atom, relative to the most stable structure: P 0; Q 187.

---

## P
Ce2SmNi: optimized geometry, GGA-PBE.

POSCAR file:
```
Ce2SmNi
1.0
1.774 1.024 10.084
-1.774 1.024 10.084
0.000 -2.048 10.084
Ce Sm Ni
2 1 1
direct
0.107 0.107 0.107
0.893 0.893 0.893
0.000 0.000 0.000
0.500 0.500 0.500
```

crystal system = trigonal

---

## Q
Ce2SmNi: optimized geometry, GGA-PBE.

POSCAR file:
```
Ce2SmNi
1.0
1.847 1.066 9.237
-1.847 1.066 9.237
0.000 -2.133 9.237
Ce Sm Ni
2 1 1
direct
0.000 0.000 0.000
0.208 0.208 0.208
0.773 0.773 0.773
0.603 0.603 0.603
```

crystal system = trigonal

---

In meV/atom, relative to the most stable structure: P 146; Q 0.

---

## P
Ce2NiSn: optimized geometry, GGA-PBE.

POSCAR file:
```
Ce2NiSn
1.0
4.365 0.000 0.000
0.000 4.365 0.000
0.000 0.000 4.625
Ce Ni Sn
2 1 1
direct
0.000 0.500 0.000
0.500 0.000 0.000
0.000 0.000 0.500
0.500 0.500 0.500
```

crystal system = tetragonal

---

## Q
Ce2NiSn: optimized geometry, GGA-PBE.

POSCAR file:
```
Ce2NiSn
1.0
3.281 0.000 0.000
0.000 3.281 0.000
0.000 0.000 8.498
Ce Ni Sn
2 1 1
direct
0.000 0.000 0.212
0.000 0.000 0.788
0.500 0.500 0.000
0.500 0.500 0.500
```

crystal system = tetragonal

---

## R
Ce2NiSn: optimized geometry, GGA-PBE.

POSCAR file:
```
Ce2NiSn
1.0
2.464 1.423 4.770
-2.464 1.423 4.770
0.000 -2.845 4.770
Ce Ni Sn
2 1 1
direct
0.236 0.236 0.236
0.764 0.764 0.764
0.500 0.500 0.500
0.000 0.000 0.000
```

crystal system = trigonal

---

In meV/atom, relative to the most stable structure: P 94; Q 0; R 172.

---

## P
Ce2NiSn3: optimized geometry, GGA-PBE.

POSCAR file:
```
Ce2NiSn3
1.0
5.639 -2.320 0.000
5.639 2.320 0.000
-4.828 0.000 5.639
Ce Ni Sn
2 1 3
direct
0.000 0.000 0.000
0.122 0.122 0.590
0.750 0.750 0.056
0.373 0.373 0.171
0.461 0.461 0.676
0.734 0.734 0.398
```

crystal system = monoclinic

---

## Q
Ce2NiSn3: optimized geometry, GGA-PBE.

POSCAR file:
```
Ce2NiSn3
1.0
4.213 0.000 0.000
0.000 4.628 0.000
0.000 0.000 7.924
Ce Ni Sn
2 1 3
direct
0.000 0.000 0.000
0.000 0.500 0.478
0.500 0.000 0.291
0.500 0.000 0.608
0.500 0.500 0.173
0.500 0.500 0.816
```

crystal system = orthorhombic

---

In meV/atom, relative to the most stable structure: P 0; Q 50.

---

## P
CeNi5Sn: optimized geometry, GGA-PBE.

POSCAR file:
```
CeNi5Sn
1.0
4.891 0.000 0.000
-2.445 4.235 0.000
0.000 0.000 19.717
Ce Ni Sn
4 20 4
direct
0.000 0.000 0.000
0.000 0.000 0.500
0.333 0.667 0.250
0.667 0.333 0.750
0.000 0.000 0.250
0.000 0.000 0.750
0.166 0.332 0.646
0.166 0.332 0.854
0.166 0.834 0.646
0.166 0.834 0.854
0.332 0.166 0.146
0.332 0.166 0.354
0.333 0.667 0.542
0.333 0.667 0.750
0.333 0.667 0.958
0.667 0.333 0.042
0.667 0.333 0.250
0.667 0.333 0.458
0.668 0.834 0.646
0.668 0.834 0.854
0.834 0.166 0.146
0.834 0.166 0.354
0.834 0.668 0.146
0.834 0.668 0.354
0.333 0.667 0.088
0.333 0.667 0.412
0.667 0.333 0.588
0.667 0.333 0.912
```

crystal system = hexagonal

---

## Q
CeNi5Sn: optimized geometry, GGA-PBE.

POSCAR file:
```
CeNi5Sn
1.0
8.085 0.000 0.000
0.000 4.913 0.000
0.000 0.000 10.290
Ce Ni Sn
4 20 4
direct
0.245 0.250 0.056
0.255 0.750 0.556
0.745 0.250 0.444
0.755 0.750 0.944
0.061 0.250 0.601
0.071 0.501 0.810
0.071 0.999 0.810
0.086 0.750 0.018
0.180 0.750 0.247
0.320 0.250 0.747
0.414 0.250 0.518
0.429 0.001 0.310
0.429 0.499 0.310
0.439 0.750 0.101
0.561 0.250 0.899
0.571 0.501 0.690
0.571 0.999 0.690
0.586 0.750 0.482
0.680 0.750 0.253
0.820 0.250 0.753
0.914 0.250 0.982
0.929 0.001 0.190
0.929 0.499 0.190
0.939 0.750 0.399
0.139 0.250 0.358
0.361 0.750 0.858
0.639 0.250 0.142
0.861 0.750 0.642
```

crystal system = orthorhombic

---

In meV/atom, relative to the most stable structure: P 0; Q 13.

---

## P
Ce3Ni2Sn4: optimized geometry, GGA-PBE.

POSCAR file:
```
Ce3Ni2Sn4
1.0
5.753 -2.300 0.000
5.753 2.300 0.000
-1.914 0.000 8.407
Ce Ni Sn
3 2 4
direct
0.000 0.000 0.000
0.353 0.353 0.337
0.647 0.647 0.663
0.426 0.426 0.731
0.574 0.574 0.269
0.081 0.081 0.390
0.281 0.281 0.914
0.719 0.719 0.086
0.919 0.919 0.610
```

crystal system = monoclinic

---

## Q
Ce3Ni2Sn4: optimized geometry, GGA-PBE.

POSCAR file:
```
Ce3Ni2Sn4
1.0
5.690 -2.246 0.000
5.690 2.246 0.000
-1.839 0.000 8.466
Ce Ni Sn
3 2 4
direct
0.000 0.000 0.000
0.374 0.374 0.311
0.626 0.626 0.689
0.295 0.295 0.597
0.705 0.705 0.403
0.088 0.088 0.387
0.293 0.293 0.907
0.707 0.707 0.093
0.912 0.912 0.613
```

crystal system = monoclinic

---

In meV/atom, relative to the most stable structure: P 33; Q 0.

---

## P
CeTcNi: optimized geometry, GGA-PBE.

POSCAR file:
```
CeTcNi
1.0
-2.182 2.182 5.767
2.182 -2.182 5.767
2.182 2.182 -5.767
Ce Tc Ni
2 2 2
direct
0.159 0.159 0.000
0.841 0.841 0.000
0.000 0.500 0.500
0.500 0.000 0.500
0.386 0.386 0.000
0.614 0.614 0.000
```

crystal system = tetragonal

---

## Q
CeTcNi: optimized geometry, GGA-PBE.

POSCAR file:
```
CeTcNi
1.0
4.117 0.000 0.000
-2.058 3.565 0.000
0.000 0.000 3.958
Ce Tc Ni
1 1 1
direct
0.000 0.000 0.000
0.333 0.667 0.500
0.667 0.333 0.500
```

crystal system = hexagonal

---

In meV/atom, relative to the most stable structure: P 0; Q 169.

---

## P
CeNiTe: optimized geometry, GGA-PBE.

POSCAR file:
```
CeNiTe
1.0
0.000 3.237 3.237
3.237 0.000 3.237
3.237 3.237 0.000
Ce Ni Te
1 1 1
direct
0.000 0.000 0.000
0.250 0.250 0.250
0.500 0.500 0.500
```

crystal system = cubic

---

## Q
CeNiTe: optimized geometry, GGA-PBE.

POSCAR file:
```
CeNiTe
1.0
4.242 0.000 0.000
-2.121 3.673 0.000
0.000 0.000 4.324
Ce Ni Te
1 1 1
direct
0.000 0.000 0.000
0.333 0.667 0.642
0.667 0.333 0.494
```

crystal system = trigonal

---

In meV/atom, relative to the most stable structure: P 57; Q 0.

---

## P
CeThNi4: optimized geometry, GGA-PBE.

POSCAR file:
```
CeThNi4
1.0
0.000 3.627 3.627
3.627 0.000 3.627
3.627 3.627 0.000
Ce Th Ni
1 1 4
direct
0.000 0.000 0.000
0.750 0.750 0.750
0.375 0.375 0.375
0.375 0.375 0.876
0.375 0.876 0.375
0.876 0.375 0.375
```

crystal system = cubic

---

## Q
CeThNi4: optimized geometry, GGA-PBE.

POSCAR file:
```
CeThNi4
1.0
-1.963 3.640 3.762
1.963 -3.640 3.762
1.963 3.640 -3.762
Ce Th Ni
1 1 4
direct
0.000 0.000 0.000
0.499 0.999 0.500
0.081 0.340 0.741
0.402 0.659 0.742
0.599 0.340 0.259
0.917 0.659 0.258
```

crystal system = orthorhombic

---

In meV/atom, relative to the most stable structure: P 0; Q 9.

---

## P
CeThNi2: optimized geometry, GGA-PBE.

POSCAR file:
```
CeThNi2
1.0
0.000 3.453 3.453
3.453 0.000 3.453
3.453 3.453 0.000
Ce Th Ni
1 1 2
direct
0.000 0.000 0.000
0.500 0.500 0.500
0.250 0.250 0.250
0.750 0.750 0.750
```

crystal system = cubic

---

## Q
CeThNi2: optimized geometry, GGA-PBE.

POSCAR file:
```
CeThNi2
1.0
1.935 1.117 6.903
-1.935 1.117 6.903
0.000 -2.234 6.903
Ce Th Ni
1 1 2
direct
0.000 0.000 0.000
0.500 0.500 0.500
0.251 0.251 0.251
0.749 0.749 0.749
```

crystal system = trigonal

---

## R
CeThNi2: optimized geometry, GGA-PBE.

POSCAR file:
```
CeThNi2
1.0
3.656 0.000 0.000
0.000 4.250 0.000
-1.812 0.000 5.421
Ce Th Ni
1 1 2
direct
0.000 0.000 0.000
0.727 0.500 0.452
0.289 0.000 0.576
0.445 0.500 0.890
```

crystal system = monoclinic

---

In meV/atom, relative to the most stable structure: P 129; Q 117; R 0.

---

## P
CeThNi: optimized geometry, GGA-PBE.

POSCAR file:
```
CeThNi
1.0
6.799 0.000 0.000
0.000 6.822 0.000
-3.619 0.000 6.372
Ce Th Ni
4 4 4
direct
0.193 0.174 0.024
0.193 0.326 0.524
0.807 0.674 0.476
0.807 0.826 0.976
0.276 0.673 0.922
0.276 0.827 0.422
0.724 0.173 0.578
0.724 0.327 0.078
0.409 0.033 0.798
0.409 0.467 0.298
0.591 0.533 0.702
0.591 0.967 0.202
```

crystal system = monoclinic

---

## Q
CeThNi: optimized geometry, GGA-PBE.

POSCAR file:
```
CeThNi
1.0
-1.782 1.782 5.630
1.782 -1.782 5.630
1.782 1.782 -5.630
Ce Th Ni
1 1 1
direct
0.000 0.000 0.000
0.281 0.281 0.000
0.655 0.655 0.000
```

crystal system = tetragonal

---

In meV/atom, relative to the most stable structure: P 11; Q 0.